[1]
! Sc2InOs PBE-GGA optimized geometry; values from VASP
&SYSTEM
  ibrav = 0, nat = 4, ntyp = 3
/
ATOMIC_SPECIES
Sc 44.96 Sc.upf
In 114.82 In.upf
Os 190.23 Os.upf
CELL_PARAMETERS angstrom
3.297 0.000 0.000
0.000 3.949 0.000
0.000 0.000 6.158
ATOMIC_POSITIONS crystal
Sc 0.000 0.000 0.000
Sc 0.500 0.500 0.281
In 0.000 0.000 0.546
Os 0.500 0.500 0.831
! - E_form: -0.075 eV per atom
! - Fermi-level density of states: 3.098 states/eV/cell
! - Calculated volume: 20.04 Å³ per atom
! - SG: Pmm2, No. 25

=====

[2]
! Y2Ho2Th PBE-GGA optimized geometry; values from VASP
&SYSTEM
  ibrav = 0, nat = 10, ntyp = 3
/
ATOMIC_SPECIES
Y 88.91 Y.upf
Ho 164.93 Ho.upf
Th 232.04 Th.upf
CELL_PARAMETERS angstrom
7.854 -3.124 0.000
7.854 3.124 0.000
-1.629 0.000 6.566
ATOMIC_POSITIONS crystal
Y 0.121 0.274 0.139
Y 0.274 0.121 0.639
Y 0.726 0.879 0.361
Y 0.879 0.726 0.861
Ho 0.313 0.490 0.550
Ho 0.490 0.313 0.050
Ho 0.510 0.687 0.950
Ho 0.687 0.510 0.450
Th 0.079 0.921 0.250
Th 0.921 0.079 0.750
! - E_form: 0.023 eV per atom
! - ΔE to the lowest computed polymorph: 0.00 kJ/mol of atoms
! - Fermi-level density of states: 16.598 states/eV/cell
! - Calculated volume: 32.22 Å³ per atom
! - SG: C2/c, No. 15

=====

[3]
! YNbGe2 PBE-GGA optimized geometry; values from VASP
&SYSTEM
  ibrav = 0, nat = 4, ntyp = 3
/
ATOMIC_SPECIES
Y 88.91 Y.upf
Nb 92.91 Nb.upf
Ge 72.64 Ge.upf
CELL_PARAMETERS angstrom
0.000 3.401 3.401
3.401 0.000 3.401
3.401 3.401 0.000
ATOMIC_POSITIONS crystal
Y 0.000 0.000 0.000
Nb 0.500 0.500 0.500
Ge 0.250 0.250 0.250
Ge 0.750 0.750 0.750
! - E_form: -0.238 eV per atom
! - ΔE to the lowest computed polymorph: 26.56 kJ/mol of atoms
! - Fermi-level density of states: 4.506 states/eV/cell
! - Calculated volume: 19.67 Å³ per atom
! - SG: Fm-3m, No. 225

=====

[4]
! LiFeSbI2 PBE-GGA optimized geometry; values from VASP
&SYSTEM
  ibrav = 0, nat = 5, ntyp = 4
/
ATOMIC_SPECIES
Li 6.94 Li.upf
Fe 55.84 Fe.upf
Sb 121.76 Sb.upf
I 126.90 I.upf
CELL_PARAMETERS angstrom
5.776 0.000 0.000
0.000 5.776 0.000
0.000 0.000 4.839
ATOMIC_POSITIONS crystal
Li 0.000 0.000 0.000
Fe 0.500 0.500 0.500
Sb 0.500 0.500 0.000
I 0.000 0.500 0.500
I 0.500 0.000 0.500
! - Formation energy without anion corrections: 0.5 eV per formula unit
! - ΔE to the lowest computed polymorph: 0.00 kJ/mol of atoms
! - Fermi-level density of states: 4.198 states/eV/cell
! - Calculated volume: 32.29 Å³ per atom
! - SG: P4/mmm, No. 123

=====

[5]
! LaNdMg6 PBE-GGA optimized geometry; values from VASP
&SYSTEM
  ibrav = 0, nat = 8, ntyp = 3
/
ATOMIC_SPECIES
La 138.91 La.upf
Nd 144.24 Nd.upf
Mg 24.30 Mg.upf
CELL_PARAMETERS angstrom
5.244 0.000 0.000
0.000 3.442 5.950
0.000 -3.442 5.950
ATOMIC_POSITIONS crystal
La 0.000 0.000 0.000
Nd 0.500 0.332 0.332
Mg 0.000 0.503 0.503
Mg 0.000 0.505 0.990
Mg 0.000 0.990 0.505
Mg 0.500 0.346 0.825
Mg 0.500 0.825 0.346
Mg 0.500 0.826 0.826
! - E_form: -0.098 eV per atom
! - Fermi-level density of states: 8.553 states/eV/cell
! - Calculated volume: 26.85 Å³ per atom
! - SG: Amm2, No. 38

=====

[6]
! BeAsC2 PBE-GGA optimized geometry; values from VASP
&SYSTEM
  ibrav = 0, nat = 8, ntyp = 3
/
ATOMIC_SPECIES
Be 9.01 Be.upf
As 74.92 As.upf
C 12.01 C.upf
CELL_PARAMETERS angstrom
-2.194 2.194 4.350
2.194 -2.194 4.350
2.194 2.194 -4.350
ATOMIC_POSITIONS crystal
Be 0.000 0.000 0.000
Be 0.750 0.250 0.500
As 0.250 0.750 0.500
As 0.500 0.500 0.000
C 0.108 0.625 0.983
C 0.375 0.358 0.483
C 0.642 0.125 0.017
C 0.875 0.892 0.517
! - E_form: 0.793 eV per atom
! - ΔE to the lowest computed polymorph: 0.00 kJ/mol of atoms
! - Fermi-level density of states: 4.352 states/eV/cell
! - Calculated volume: 10.47 Å³ per atom
! - SG: I-42d, No. 122

=====

[7]
! SrZrRh4 PBE-GGA optimized geometry; values from VASP
&SYSTEM
  ibrav = 0, nat = 6, ntyp = 3
/
ATOMIC_SPECIES
Sr 87.62 Sr.upf
Zr 91.22 Zr.upf
Rh 102.91 Rh.upf
CELL_PARAMETERS angstrom
0.000 3.774 3.774
3.774 0.000 3.774
3.774 3.774 0.000
ATOMIC_POSITIONS crystal
Sr 0.000 0.000 0.000
Zr 0.750 0.750 0.750
Rh 0.376 0.376 0.376
Rh 0.376 0.376 0.873
Rh 0.376 0.873 0.376
Rh 0.873 0.376 0.376
! - E_form: -0.371 eV per atom
! - Fermi-level density of states: 4.595 states/eV/cell
! - Calculated volume: 17.91 Å³ per atom
! - SG: F-43m, No. 216

=====

[8]
! ErGePt3 PBE-GGA optimized geometry; values from VASP
&SYSTEM
  ibrav = 0, nat = 10, ntyp = 3
/
ATOMIC_SPECIES
Er 167.26 Er.upf
Ge 72.64 Ge.upf
Pt 195.08 Pt.upf
CELL_PARAMETERS angstrom
5.599 0.000 0.000
0.000 7.075 0.000
0.000 0.000 5.038
ATOMIC_POSITIONS crystal
Er 0.000 0.000 0.000
Er 0.500 0.500 0.000
Ge 0.000 0.500 0.500
Ge 0.500 0.000 0.500
Pt 0.000 0.500 0.000
Pt 0.122 0.173 0.500
Pt 0.378 0.673 0.500
Pt 0.500 0.000 0.000
Pt 0.622 0.327 0.500
Pt 0.878 0.827 0.500
! - E_form: -0.624 eV per atom
! - ΔE to the lowest computed polymorph: 21.98 kJ/mol of atoms
! - Fermi-level density of states: 2.908 states/eV/cell
! - Calculated volume: 19.96 Å³ per atom
! - SG: Pbam, No. 55

=====

[9]
! SmZn3Ga PBE-GGA optimized geometry; values from VASP
&SYSTEM
  ibrav = 0, nat = 5, ntyp = 3
/
ATOMIC_SPECIES
Sm 150.36 Sm.upf
Zn 65.41 Zn.upf
Ga 69.72 Ga.upf
CELL_PARAMETERS angstrom
2.995 -3.004 0.000
2.995 3.004 0.000
-2.941 0.000 5.229
ATOMIC_POSITIONS crystal
Sm 0.000 0.000 0.000
Zn 0.249 0.753 0.501
Zn 0.620 0.620 0.240
Zn 0.753 0.249 0.501
Ga 0.388 0.388 0.774
! - E_form: -0.405 eV per atom
! - Fermi-level density of states: 2.340 states/eV/cell
! - Calculated volume: 18.82 Å³ per atom
! - SG: Cm, No. 8

=====

[10]
! Ac2SmHg PBE-GGA optimized geometry; values from VASP
&SYSTEM
  ibrav = 0, nat = 4, ntyp = 3
/
ATOMIC_SPECIES
Ac 227.00 Ac.upf
Sm 150.36 Sm.upf
Hg 200.59 Hg.upf
CELL_PARAMETERS angstrom
0.000 4.140 4.140
4.140 0.000 4.140
4.140 4.140 0.000
ATOMIC_POSITIONS crystal
Ac 0.250 0.250 0.250
Ac 0.750 0.750 0.750
Sm 0.000 0.000 0.000
Hg 0.500 0.500 0.500
! - E_form: -0.040 eV per atom
! - ΔE to the lowest computed polymorph: 16.52 kJ/mol of atoms
! - Fermi-level density of states: 5.522 states/eV/cell
! - Calculated volume: 35.49 Å³ per atom
! - SG: Fm-3m, No. 225

=====

[11]
! LaZn4Au PBE-GGA optimized geometry; values from VASP
&SYSTEM
  ibrav = 0, nat = 6, ntyp = 3
/
ATOMIC_SPECIES
La 138.91 La.upf
Zn 65.41 Zn.upf
Au 196.97 Au.upf
CELL_PARAMETERS angstrom
0.000 3.857 3.857
3.857 0.000 3.857
3.857 3.857 0.000
ATOMIC_POSITIONS crystal
La 0.000 0.000 0.000
Zn 0.128 0.624 0.624
Zn 0.624 0.128 0.624
Zn 0.624 0.624 0.128
Zn 0.624 0.624 0.624
Au 0.250 0.250 0.250
! - E_form: -0.241 eV per atom
! - ΔE to the lowest computed polymorph: 8.69 kJ/mol of atoms
! - Fermi-level density of states: 2.582 states/eV/cell
! - Calculated volume: 19.13 Å³ per atom
! - SG: F-43m, No. 216

=====

[12]
! Sm5Er2Th2 PBE-GGA optimized geometry; values from VASP
&SYSTEM
  ibrav = 0, nat = 9, ntyp = 3
/
ATOMIC_SPECIES
Sm 150.36 Sm.upf
Er 167.26 Er.upf
Th 232.04 Th.upf
CELL_PARAMETERS angstrom
5.659 -2.540 0.000
5.659 2.540 0.000
-3.378 0.000 10.251
ATOMIC_POSITIONS crystal
Sm 0.000 0.000 0.000
Sm 0.335 0.335 0.446
Sm 0.336 0.336 0.114
Sm 0.664 0.664 0.886
Sm 0.665 0.665 0.554
Er 0.334 0.334 0.775
Er 0.666 0.666 0.225
Th 0.002 0.002 0.666
Th 0.998 0.998 0.334
! - E_form: 0.045 eV per atom
! - Fermi-level density of states: 12.715 states/eV/cell
! - Calculated volume: 32.75 Å³ per atom
! - SG: C2/m, No. 12

=====

> The lowest Fermi-level density of states belongs to which entry?

SmZn3Ga